1.
{"formula": "KMn2AgCl6", "functional": "GGA-PBE", "state": "optimized geometry", "raw_formation_energy_ev_per_atom": -1.127, "sg": "C2/c (15)", "lattice_angstrom": [[7.4274, -0.0387, -0.0402], [2.3283, 9.2016, -0.0498], [2.3283, -0.3908, 9.1935]], "species": ["Cl", "Ag", "Cl", "Mn", "K", "Cl", "Mn", "Mn", "Mn", "Cl", "Ag", "Cl", "Cl", "Cl", "Cl", "K", "Cl", "Cl", "Cl", "Cl"], "fractional_positions": [[0.9805, 0.3123, 0.4256], [0.7500, 0.7631, 0.2369], [0.3184, 0.2078, 0.0468], [0.7083, 0.2353, 0.3875], [0.2500, 0.8897, 0.1103], [0.1816, 0.9532, 0.7922], [0.7917, 0.6125, 0.7647], [0.2917, 0.7647, 0.6125], [0.2083, 0.3875, 0.2353], [0.9177, 0.3879, 0.8558], [0.2500, 0.2369, 0.7631], [0.6816, 0.7922, 0.9532], [0.5195, 0.5744, 0.6877], [0.0195, 0.6877, 0.5744], [0.8184, 0.0468, 0.2078], [0.7500, 0.1103, 0.8897], [0.4177, 0.8558, 0.3879], [0.4805, 0.4256, 0.3123], [0.0823, 0.6121, 0.1442], [0.5823, 0.1442, 0.6121]]}

---

2.
{"formula": "Pm2UTe6", "functional": "GGA-PBE", "state": "optimized geometry", "raw_formation_energy_ev_per_atom": -0.971, "sg": "P2_1/c (14)", "lattice_angstrom": [[-5.3831, 4.5405, -0.6728], [0.1375, -1.0628, -8.2728], [-6.4302, -7.8465, 0.9012]], "species": ["Te", "Te", "Pm", "Pm", "Te", "Te", "Te", "Te", "Te", "Te", "U", "Te", "Te", "Pm", "U", "Te", "Pm", "Te"], "fractional_positions": [[0.3570, 0.8190, 0.0641], [0.8570, 0.6810, 0.5641], [0.4633, 0.1242, 0.2549], [0.9633, 0.3758, 0.7549], [0.8733, 0.9743, 0.2275], [0.1430, 0.3190, 0.4359], [0.8459, 0.6737, 0.9345], [0.1267, 0.0257, 0.7725], [0.6430, 0.1810, 0.9359], [0.3733, 0.5257, 0.7275], [0.0000, 0.0000, 0.5000], [0.3459, 0.8263, 0.4345], [0.6267, 0.4743, 0.2725], [0.5367, 0.8758, 0.7451], [0.5000, 0.5000, 0.0000], [0.6541, 0.1737, 0.5655], [0.0367, 0.6242, 0.2451], [0.1541, 0.3263, 0.0655]]}

---

3.
{"formula": "LaY2In6", "functional": "GGA-PBE", "state": "optimized geometry", "de_polymorph_ev_per_fu": 0.00, "formation_enthalpy_0k_ev_per_atom": -0.437, "sg": "P6/mmm (191)", "lattice_angstrom": [[-0.4580, -0.7068, 3.5414], [-6.5344, -5.3945, -1.9217], [8.1354, -3.0176, 0.4498]], "species": ["In", "In", "In", "Y", "In", "In", "La", "Y", "In"], "fractional_positions": [[0.5000, 0.0000, 0.6639], [0.5000, 0.6639, 0.0000], [0.5000, 0.0000, 0.3361], [0.0000, 0.3333, 0.6667], [0.5000, 0.6639, 0.6639], [0.5000, 0.3361, 0.0000], [0.0000, 0.0000, 0.0000], [0.0000, 0.6667, 0.3333], [0.5000, 0.3361, 0.3361]]}

---

4.
{"formula": "K2CaTaPb", "functional": "GGA-PBE", "state": "optimized geometry", "formation_enthalpy_0k_ev_per_atom": 1.331, "sg": "P4/mmm (123)", "lattice_angstrom": [[-0.2543, -2.9551, 5.7342], [-1.5421, -5.2175, -2.7572], [6.2409, -1.5647, -0.5296]], "species": ["K", "Ta", "Pb", "Ca", "K"], "fractional_positions": [[0.5000, 0.0000, 0.0000], [0.5000, 0.5000, 0.5000], [0.0000, 0.0000, 0.0000], [0.0000, 0.5000, 0.0000], [0.0000, 0.0000, 0.5000]]}

---

no.,M_tot (μB per formula unit)
1,10.000
2,0.049
3,0.000
4,3.000